No. 1
{"formula": "Dy2YSc", "functional": "PBE", "state": "relaxed", "lattice": [[1.746, 1.008, 11.278], [-1.746, 1.008, 11.278], [0.000, -2.017, 11.278]], "species": ["Dy", "Dy", "Y", "Sc"], "fractional_positions": [[0.247, 0.247, 0.247], [0.753, 0.753, 0.753], [0.000, 0.000, 0.000], [0.500, 0.500, 0.500]], "m_tot_mub_per_atom": 0.000, "relative_energy_mev_per_atom": 14, "formation_energy_ev_per_fu": 0.189}

No. 2
{"formula": "RbNaInAu2", "functional": "PBE", "state": "relaxed", "lattice": [[5.381, 0.000, 0.000], [0.000, 5.381, 0.000], [0.000, 0.000, 5.726]], "species": ["Rb", "Na", "In", "Au", "Au"], "fractional_positions": [[0.000, 0.000, 0.000], [0.500, 0.500, 0.000], [0.500, 0.500, 0.500], [0.000, 0.500, 0.500], [0.500, 0.000, 0.500]], "m_tot_mub_per_atom": 0.000, "relative_energy_mev_per_atom": 184, "formation_energy_ev_per_fu": -0.486}

No. 3
{"formula": "TbPr2NdDy5", "functional": "PBE", "state": "relaxed", "lattice": [[-4.366, 4.366, 7.846], [4.366, -4.366, 7.846], [4.366, 4.366, -7.846]], "species": ["Tb", "Tb", "Pr", "Pr", "Pr", "Pr", "Nd", "Nd", "Dy", "Dy", "Dy", "Dy", "Dy", "Dy", "Dy", "Dy", "Dy", "Dy"], "fractional_positions": [[0.250, 0.750, 0.500], [0.750, 0.250, 0.500], [0.118, 0.618, 0.736], [0.382, 0.118, 0.500], [0.618, 0.882, 0.500], [0.882, 0.382, 0.264], [0.250, 0.250, 0.000], [0.750, 0.750, 0.000], [0.000, 0.000, 0.000], [0.072, 0.150, 0.500], [0.150, 0.650, 0.078], [0.350, 0.428, 0.500], [0.428, 0.928, 0.078], [0.500, 0.500, 0.000], [0.572, 0.072, 0.922], [0.650, 0.572, 0.500], [0.850, 0.350, 0.922], [0.928, 0.850, 0.500]], "m_tot_mub_per_atom": 0.000, "formation_energy_ev_per_fu": 2.341}

No. 4
{"formula": "Si2PbAu", "functional": "PBE", "state": "relaxed", "lattice": [[-1.844, 2.906, 4.106], [1.844, -2.906, 4.106], [1.844, 2.906, -4.106]], "species": ["Si", "Si", "Pb", "Au"], "fractional_positions": [[0.000, 0.000, 0.000], [0.819, 0.319, 0.500], [0.509, 0.509, 0.000], [0.212, 0.712, 0.500]], "m_tot_mub_per_atom": 0.000, "e_form_raw_ev_per_fu": 1.49}

No. 5
{"formula": "TaV2TeAs", "functional": "PBE", "state": "relaxed", "lattice": [[4.695, 0.000, 0.000], [0.000, 4.695, 0.000], [0.000, 0.000, 4.839]], "species": ["Ta", "V", "V", "Te", "As"], "fractional_positions": [[0.000, 0.000, 0.000], [0.000, 0.500, 0.500], [0.500, 0.000, 0.500], [0.500, 0.500, 0.000], [0.000, 0.000, 0.500]], "m_tot_mub_per_atom": 0.894, "e_form_raw_ev_per_fu": 3.52}

No. 6
{"formula": "SrTcTe3", "functional": "PBE", "state": "relaxed", "lattice": [[6.033, 0.000, 0.000], [0.000, 6.033, 0.000], [0.000, 0.000, 6.033]], "species": ["Sr", "Tc", "Te", "Te", "Te"], "fractional_positions": [[0.000, 0.000, 0.000], [0.500, 0.500, 0.500], [0.000, 0.000, 0.500], [0.000, 0.500, 0.000], [0.500, 0.000, 0.000]], "m_tot_mub_per_atom": 0.698, "e_form_raw_ev_per_fu": 5.13, "relative_energy_mev_per_atom": 1278}

No. 7
{"formula": "Pm3Ho4Si4", "functional": "PBE", "state": "relaxed", "lattice": [[-2.007, 4.342, 8.134], [2.007, -4.342, 8.134], [2.007, 4.342, -8.134]], "species": ["Pm", "Pm", "Pm", "Ho", "Ho", "Ho", "Ho", "Si", "Si", "Si", "Si"], "fractional_positions": [[0.000, 0.000, 0.000], [0.399, 0.899, 0.500], [0.601, 0.101, 0.500], [0.015, 0.328, 0.688], [0.360, 0.672, 0.688], [0.640, 0.328, 0.312], [0.985, 0.672, 0.312], [0.260, 0.260, 0.000], [0.276, 0.500, 0.776], [0.724, 0.500, 0.224], [0.740, 0.740, 0.000]], "m_tot_mub_per_atom": 0.091, "e_form_raw_ev_per_fu": -5.70}

No. 8
{"formula": "Ba2HgBiS5", "functional": "PBE", "state": "relaxed", "lattice": [[2.102, -9.371, 0.000], [2.102, 9.371, 0.000], [0.000, 0.000, 12.698]], "species": ["Ba", "Ba", "Ba", "Ba", "Hg", "Hg", "Bi", "Bi", "S", "S", "S", "S", "S", "S", "S", "S", "S", "S"], "fractional_positions": [[0.113, 0.887, 0.500], [0.128, 0.872, 0.118], [0.872, 0.128, 0.618], [0.887, 0.113, 0.000], [0.463, 0.537, 0.265], [0.537, 0.463, 0.765], [0.216, 0.784, 0.822], [0.784, 0.216, 0.322], [0.059, 0.941, 0.872], [0.282, 0.718, 0.470], [0.298, 0.702, 0.172], [0.357, 0.643, 0.812], [0.497, 0.503, 0.581], [0.503, 0.497, 0.081], [0.643, 0.357, 0.312], [0.702, 0.298, 0.672], [0.718, 0.282, 0.970], [0.941, 0.059, 0.372]], "m_tot_mub_per_atom": 0.000, "e_form_raw_ev_per_fu": -9.09}